A plane-wave DFT calculation with PBE-GGA was carried out for Pm2Si3Au after structural relaxation.

Cell: 8.337 8.272 5.942 Å, 69.62 68.46 41.92°
Element x y z (fractional)
Pm: 0.242 0.758 0.242
Pm: 0.250 0.250 0.250
Pm: 0.750 0.750 0.750
Pm: 0.758 0.242 0.758
Si: 0.164 0.164 0.836
Si: 0.165 0.672 0.835
Si: 0.328 0.835 0.672
Si: 0.672 0.165 0.328
Si: 0.835 0.328 0.165
Si: 0.836 0.836 0.164
Au: 0.334 0.334 0.666
Au: 0.666 0.666 0.334

Output
M_tot   0.001 μB per atom
Symmetry   No. 69
E_tot   -5.646 eV/atom
V   126.39 Å³/f.u.